A geometry-optimized Li2Si5Ni5O16 structure, computed with PBE+U.

Cell lengths 4.947, 7.115, 9.971 Å; angles 90.82, 90.28, 90.24 degrees
Element x y z (fractional)
Li 0.000 0.000 0.000
Li 0.462 0.526 0.798
Si 0.025 0.230 0.733
Si 0.104 0.261 0.232
Si 0.479 0.741 0.042
Si 0.517 0.988 0.807
Si 0.615 0.765 0.547
Ni 0.094 0.496 0.501
Ni 0.102 0.996 0.476
Ni 0.594 0.516 0.295
Ni 0.595 0.015 0.283
Ni 0.994 0.499 0.985
O 0.029 0.256 0.074
O 0.081 0.237 0.572
O 0.091 0.435 0.795
O 0.156 0.752 0.017
O 0.202 0.058 0.804
O 0.434 0.265 0.264
O 0.486 0.566 0.492
O 0.497 0.949 0.470
O 0.541 0.796 0.711
O 0.571 0.763 0.200
O 0.604 0.552 0.975
O 0.606 0.932 0.960
O 0.707 0.163 0.759
O 0.943 0.753 0.530
O 0.982 0.450 0.311
O 0.989 0.064 0.296

Uncorrected energy   -6.45 eV/atom
M_tot   9.93 μB per cell
Theoretical density   3330 kg/m3